The following is a DFT calculation (PBE) of Nd3TlGe after structural relaxation.

total moment: 0.000 μB per formula unit
ΔE to the lowest computed polymorph: 0.98 kcal/mol of atoms
formation enthalpy at 0 K: -0.421 eV per atom

Cell and atoms, written as CIF:
```
data_Nd3TlGe
_symmetry_space_group_name_H-M 'P -1'
_symmetry_Int_Tables_number 2
_symmetry_space_group_name_Hall '-P 1'
_cell_length_a 5.848
_cell_length_b 7.083
_cell_length_c 9.212
_cell_angle_alpha 112.52
_cell_angle_beta 90.12
_cell_angle_gamma 114.27
loop_
_atom_site_label
_atom_site_type_symbol
_atom_site_fract_x
_atom_site_fract_y
_atom_site_fract_z
Nd1 Nd 0.119 0.240 0.245
Nd2 Nd 0.156 0.312 0.637
Nd3 Nd 0.379 0.761 0.093
Tl1 Tl 0.393 0.787 0.553
Ge1 Ge 0.130 0.258 0.938
```